# 1
Computed, not measured: a relaxed SrTe2Pb crystal at the GGA-PBE level of DFT.

Properties
As for the crystal system: trigonal. The volume comes out at 36.81 A^3/atom. For the density of states at the Fermi level, the calculation gives 0.00 states/eV/atom. Its final energy is -3.974 eV per atom.

Unit cell a=4.6998 b=4.6998 c=23.0898 alpha=90.00 beta=90.00 gamma=120.00
Space group R-3m (No. 166, hexagonal axes)
Asymmetric unit:
Sr 0.0000 0.0000 0.0000 [3 per cell]
Te 0.0000 0.0000 0.2486 [6 per cell]
Pb 0.0000 0.0000 0.5000 [3 per cell]


# 2
Computed, not measured: a relaxed RbOs crystal at the GGA-PBE level of DFT.

Properties
As for the crystal system: orthorhombic. The volume comes out at 27.19 A^3/atom. The energy of formation from the pure elements is 155 kJ/mol of atoms. For the density of states at the Fermi level, the calculation gives 1.21 states/eV/atom. The offset from the most stable computed form is 1.384 eV/f.u.

Unit cell a=6.2558 b=9.3714 c=14.8430 alpha=90.00 beta=90.00 gamma=90.00
Space group Fddd (No. 70, origin choice 2)
Asymmetric unit:
Rb 0.1250 0.2855 0.1250 [16 per cell]
Os 0.1250 0.1250 0.5484 [16 per cell]


# 3
Computed, not measured: a relaxed Cu2Ni5Pt2 crystal at the GGA-PBE level of DFT.

Properties
As for the crystal system: monoclinic. The volume comes out at 12.29 A^3/atom. The energy of formation from the pure elements is -4 kJ/mol of atoms. For the density of states at the Fermi level, the calculation gives 1.52 states/eV/atom.

Unit cell a=10.9930 b=3.6514 c=5.8190 alpha=90.00 beta=108.75 gamma=90.00
Space group C2/m (No. 12)
Asymmetric unit:
Cu 0.1160 0.0000 0.1742 [4 per cell]
Ni 0.0000 0.0000 0.5000 [2 per cell]
Ni 0.1714 0.5000 0.5004 [4 per cell]
Ni 0.2236 0.0000 0.8271 [4 per cell]
Pt 0.0581 0.5000 0.8247 [4 per cell]


# 4
Computed, not measured: a relaxed Ca2LaRu crystal at the GGA-PBE level of DFT.

Properties
As for the crystal system: tetragonal. The volume comes out at 26.29 A^3/atom. The energy of formation from the pure elements is 20 kJ/mol of atoms. For the density of states at the Fermi level, the calculation gives 1.14 states/eV/atom. The offset from the most stable computed form is 1.453 eV/f.u.

Unit cell a=5.2931 b=5.2931 c=7.5064 alpha=90.00 beta=90.00 gamma=90.00
Space group I-4m2 (No. 119)
Asymmetric unit:
Ca 0.0000 0.0000 0.0000 [2 per cell]
Ca 0.0000 0.5000 0.2500 [2 per cell]
La 0.0000 0.5000 0.7500 [2 per cell]
Ru 0.0000 0.0000 0.5000 [2 per cell]


# 5
Computed, not measured: a relaxed CsK2ZnF5 crystal at the GGA-PBE level of DFT.

Properties
As for the crystal system: tetragonal. The volume comes out at 19.54 A^3/atom. For the density of states at the Fermi level, the calculation gives 0.00 states/eV/atom. Its final energy is -4.137 eV per atom.

Unit cell a=7.5610 b=7.5610 c=12.3021 alpha=90.00 beta=90.00 gamma=90.00
Space group I4/mcm (No. 140)
Asymmetric unit:
Cs 0.0000 0.0000 0.2500 [4 per cell]
K 0.1810 0.3190 0.0000 [8 per cell]
Zn 0.0000 0.5000 0.2500 [4 per cell]
F 0.0000 0.0000 0.0000 [4 per cell]
F 0.1359 0.3641 0.3528 [16 per cell]


# 6
Computed, not measured: a relaxed NaY2ZrC crystal at the GGA-PBE level of DFT.

Properties
As for the crystal system: tetragonal. The volume comes out at 27.58 A^3/atom. The energy of formation from the pure elements is 219 kJ/mol of atoms. For the density of states at the Fermi level, the calculation gives 1.49 states/eV/atom.

Unit cell a=5.2698 b=5.2698 c=4.9664 alpha=90.00 beta=90.00 gamma=90.00
Space group P4/mmm (No. 123)
Asymmetric unit:
Na 0.0000 0.0000 0.0000 [1 per cell]
Y 0.0000 0.5000 0.0000 [2 per cell]
Zr 0.0000 0.0000 0.5000 [1 per cell]
C 0.5000 0.5000 0.5000 [1 per cell]


# 7
Computed, not measured: a relaxed Li2CaPmAu2 crystal at the GGA-PBE level of DFT.

Properties
As for the crystal system: trigonal. The volume comes out at 22.61 A^3/atom. The energy of formation from the pure elements is -51 kJ/mol of atoms. For the density of states at the Fermi level, the calculation gives 0.90 states/eV/atom.

Unit cell a=4.5525 b=4.5525 c=7.5588 alpha=90.00 beta=90.00 gamma=120.00
Space group P-3m1 (No. 164)
Asymmetric unit:
Li 0.3333 0.6667 0.2391 [2 per cell]
Ca 0.0000 0.0000 0.0000 [1 per cell]
Pm 0.0000 0.0000 0.5000 [1 per cell]
Au 0.3333 0.6667 0.7398 [2 per cell]


# 8
Computed, not measured: a relaxed BaSi3P crystal at the GGA-PBE level of DFT.

Properties
As for the crystal system: cubic. The volume comes out at 23.03 A^3/atom. For the density of states at the Fermi level, the calculation gives 0.41 states/eV/atom. The offset from the most stable computed form is 0.000 eV/f.u.

Unit cell a=4.8652 b=4.8652 c=4.8652 alpha=90.00 beta=90.00 gamma=90.00
Space group Pm-3m (No. 221)
Asymmetric unit:
Ba 0.0000 0.0000 0.0000 [1 per cell]
Si 0.0000 0.5000 0.5000 [3 per cell]
P 0.5000 0.5000 0.5000 [1 per cell]


Repeat the seventh record exactly.
Computed, not measured: a relaxed Li2CaPmAu2 crystal at the GGA-PBE level of DFT.

Properties
As for the crystal system: trigonal. The volume comes out at 22.61 A^3/atom. The energy of formation from the pure elements is -51 kJ/mol of atoms. For the density of states at the Fermi level, the calculation gives 0.90 states/eV/atom.

Unit cell a=4.5525 b=4.5525 c=7.5588 alpha=90.00 beta=90.00 gamma=120.00
Space group P-3m1 (No. 164)
Asymmetric unit:
Li 0.3333 0.6667 0.2391 [2 per cell]
Ca 0.0000 0.0000 0.0000 [1 per cell]
Pm 0.0000 0.0000 0.5000 [1 per cell]
Au 0.3333 0.6667 0.7398 [2 per cell]


- Number 4 is which compound?
  Ca2LaRu


- Which value of volume does entry 2 give?
  27.19 A^3/atom


- Which of these has the lowest volume?
  Cu2Ni5Pt2